Ca2LaIr | PBE | relaxed

a b c (Å): 4.040 6.813 9.601
angles (deg): 90.00 90.00 107.26
Fractional positions:
Ca  0.347  0.694  0.570
Ca  0.653  0.306  0.430
Ca  0.347  0.694  0.930
Ca  0.653  0.306  0.070
La  0.916  0.832  0.250
La  0.084  0.168  0.750
Ir  0.728  0.455  0.750
Ir  0.272  0.545  0.250

Output
The calculation puts the relative energy among the computed polymorphs at 0 meV per atom. The calculation puts the formation enthalpy at 0 K at -0.42 eV per atom. The symmetry is Cmcm.

***

Ca2LaIr | PBE | relaxed

a b c (Å): 8.062 8.062 8.062
angles (deg): 154.34 145.64 43.38
Fractional positions:
Ca  0.084  0.084  0.000
Ca  0.416  0.416  0.000
Ir  0.250  0.750  0.500
La  0.750  0.250  0.500

Output
The calculation puts the relative energy among the computed polymorphs at 132 meV per atom. The calculation puts the formation enthalpy at 0 K at -0.29 eV per atom. The symmetry is Immm.

***

Ca2LaIr | PBE | relaxed

a b c (Å): 5.266 5.266 5.266
angles (deg): 119.95 119.95 90.08
Fractional positions:
Ca  0.000  0.000  0.000
Ca  0.250  0.750  0.500
Ir  0.500  0.500  0.000
La  0.750  0.250  0.500

Output
The calculation puts the relative energy among the computed polymorphs at 344 meV per atom. The calculation puts the formation enthalpy at 0 K at -0.07 eV per atom. The symmetry is I-4m2.